Cs4SrCa3I12 | PBE | relaxed

POSCAR file:
```
Cs4SrCa3I12
1.0
-6.282 6.282 6.282
6.282 -6.282 6.282
6.282 6.282 -6.282
Cs Sr Ca I
4 1 3 12
Direct
0.000 0.000 0.500
0.000 0.500 0.000
0.500 0.000 0.000
0.500 0.500 0.500
0.000 0.000 0.000
0.000 0.500 0.500
0.500 0.000 0.500
0.500 0.500 0.000
0.000 0.255 0.255
0.000 0.745 0.745
0.250 0.500 0.750
0.250 0.750 0.500
0.255 0.000 0.255
0.255 0.255 0.000
0.500 0.250 0.750
0.500 0.750 0.250
0.745 0.000 0.745
0.745 0.745 0.000
0.750 0.250 0.500
0.750 0.500 0.250
```

## Properties
Density of states at the Fermi level ... 0.0 states/eV/cell
Magnetization ... 0.00 μB per cell
Mass density ... 3.8 g cm⁻³
DFT total energy ... -61.66 eV per cell
Formation energy (no corrections) ... -1.60 eV/atom

=====

MoPt2Au | PBE | relaxed

POSCAR file:
```
MoPt2Au
1.0
2.834 0.000 0.000
0.000 2.834 0.000
0.000 0.000 8.070
Mo Pt Au
1 2 1
Direct
0.000 0.000 0.000
0.500 0.500 0.231
0.500 0.500 0.769
0.000 0.000 0.500
```

## Properties
Density of states at the Fermi level ... 3.3 states/eV/cell
Magnetization ... 0.00 μB per cell
Mass density ... 17.5 g cm⁻³
Excess energy over the best structure of this formula in the dataset ... 0 meV per atom
DFT total energy ... -27.12 eV per cell
Formation enthalpy at 0 K ... -232 meV/atom

=====

Ce5Pu2In3 | PBE | relaxed

POSCAR file:
```
Ce5Pu2In3
1.0
-4.379 6.815 4.957
4.379 -6.815 4.957
4.379 6.815 -4.957
Ce Pu In
10 4 6
Direct
0.021 0.750 0.271
0.106 0.734 0.840
0.250 0.250 0.000
0.394 0.234 0.628
0.479 0.750 0.729
0.521 0.250 0.271
0.606 0.766 0.372
0.750 0.750 0.000
0.894 0.266 0.160
0.979 0.250 0.729
0.139 0.450 0.589
0.361 0.950 0.311
0.639 0.050 0.689
0.861 0.550 0.411
0.140 0.104 0.244
0.250 0.750 0.500
0.360 0.604 0.964
0.640 0.396 0.036
0.750 0.250 0.500
0.860 0.896 0.756
```

## Properties
Density of states at the Fermi level ... 46.0 states/eV/cell
Magnetization ... 19.60 μB per cell
Mass density ... 8.6 g cm⁻³
DFT total energy ... -132.65 eV per cell
Formation enthalpy at 0 K ... 22 meV/atom

=====

MnIrOs2 | PBE | relaxed

POSCAR file:
```
MnIrOs2
1.0
-1.893 1.893 3.836
1.893 -1.893 3.836
1.893 1.893 -3.836
Mn Ir Os
1 1 2
Direct
0.000 0.000 0.000
0.500 0.500 0.000
0.250 0.750 0.500
0.750 0.250 0.500
```

## Properties
Density of states at the Fermi level ... 3.6 states/eV/cell
Magnetization ... 1.31 μB per cell
Mass density ... 19.0 g cm⁻³
Excess energy over the best structure of this formula in the dataset ... 27 meV per atom
DFT total energy ... -40.40 eV per cell
Formation enthalpy at 0 K ... 24 meV/atom

=====

Dy12Pt5Pb3 | PBE | relaxed

POSCAR file:
```
Dy12Pt5Pb3
1.0
-8.615 8.615 8.615
8.615 -8.615 8.615
8.615 8.615 -8.615
Dy Pt Pb
48 20 12
Direct
0.036 0.208 0.120
0.036 0.328 0.916
0.084 0.620 0.412
0.084 0.964 0.672
0.088 0.708 0.672
0.088 0.880 0.416
0.120 0.036 0.208
0.120 0.584 0.912
0.172 0.208 0.588
0.172 0.464 0.584
0.208 0.120 0.036
0.208 0.588 0.172
0.292 0.328 0.912
0.292 0.464 0.380
0.328 0.912 0.292
0.328 0.916 0.036
0.380 0.292 0.464
0.380 0.588 0.916
0.412 0.084 0.620
0.412 0.828 0.792
0.416 0.088 0.880
0.416 0.828 0.536
0.464 0.380 0.292
0.464 0.584 0.172
0.536 0.416 0.828
0.536 0.620 0.708
0.584 0.172 0.464
0.584 0.912 0.120
0.588 0.172 0.208
0.588 0.916 0.380
0.620 0.412 0.084
0.620 0.708 0.536
0.672 0.084 0.964
0.672 0.088 0.708
0.708 0.536 0.620
0.708 0.672 0.088
0.792 0.412 0.828
0.792 0.880 0.964
0.828 0.536 0.416
0.828 0.792 0.412
0.880 0.416 0.088
0.880 0.964 0.792
0.912 0.120 0.584
0.912 0.292 0.328
0.916 0.036 0.328
0.916 0.380 0.588
0.964 0.672 0.084
0.964 0.792 0.880
0.000 0.000 0.000
0.000 0.000 0.500
0.000 0.500 0.000
0.000 0.500 0.500
0.125 0.750 0.875
0.125 0.875 0.250
0.250 0.125 0.875
0.250 0.625 0.375
0.375 0.250 0.625
0.375 0.625 0.750
0.500 0.000 0.000
0.500 0.000 0.500
0.500 0.500 0.000
0.500 0.500 0.500
0.625 0.375 0.250
0.625 0.750 0.375
0.750 0.375 0.625
0.750 0.875 0.125
0.875 0.125 0.750
0.875 0.250 0.125
0.125 0.250 0.375
0.125 0.375 0.750
0.250 0.375 0.125
0.250 0.875 0.625
0.375 0.125 0.250
0.375 0.750 0.125
0.625 0.250 0.875
0.625 0.875 0.750
0.750 0.125 0.375
0.750 0.625 0.875
0.875 0.625 0.250
0.875 0.750 0.625
```

## Properties
Density of states at the Fermi level ... 71.8 states/eV/cell
Magnetization ... 0.00 μB per cell
Mass density ... 9.2 g cm⁻³
DFT total energy ... -427.74 eV per cell
Formation enthalpy at 0 K ... -519 meV/atom

=====

Ba2BeCd | PBE | relaxed

POSCAR file:
```
Ba2BeCd
1.0
3.909 0.000 0.000
0.000 3.909 0.000
0.000 0.000 9.411
Ba Be Cd
2 1 1
Direct
0.000 0.000 0.000
0.500 0.500 0.412
0.000 0.000 0.635
0.500 0.500 0.762
```

## Properties
Density of states at the Fermi level ... 2.7 states/eV/cell
Magnetization ... 0.00 μB per cell
Mass density ... 4.6 g cm⁻³
Excess energy over the best structure of this formula in the dataset ... 197 meV per atom
DFT total energy ... -7.36 eV per cell
Formation enthalpy at 0 K ... 281 meV/atom

=====

| no. | volume (A^3/atom) |
| --- | --- |
| 1 | 49.588 |
| 2 | 16.200 |
| 3 | 29.590 |
| 4 | 13.743 |
| 5 | 31.973 |
| 6 | 35.953 |